# 1
## Ac3Te3Pb (GGA-PBE)

Data for crystalline Ac3Te3Pb at its relaxed geometry.

a b c (Å): 6.728 6.728 6.728
angles (deg): 90.00 90.00 90.00
Element x y z (fractional)
1 Ac 0.500 0.000 0.500
2 Ac 0.500 0.500 0.000
3 Ac 0.000 0.500 0.500
4 Te 0.000 0.500 0.000
5 Te 0.000 0.000 0.500
6 Te 0.500 0.000 0.000
7 Pb 0.500 0.500 0.500

DOS(E_F): 7.42 states/eV/f.u.
formation energy without anion corrections: -1111.3 meV per atom
size of the total moment: 0.000 μB per atom
space-group type: Pm-3m
E_tot: -33.2 eV per formula unit
crystal system: cubic
volume: 304.6 Å³ per cell



# 2
## BeSiSb (GGA-PBE)

Data for crystalline BeSiSb at its relaxed geometry.

a b c (Å): 4.092 5.202 6.141
angles (deg): 103.36 95.68 98.73
Element x y z (fractional)
1 Sb 0.776 0.878 0.279
2 Sb 0.363 0.481 0.653
3 Si 0.926 0.814 0.688
4 Si 0.585 0.372 0.039
5 Be 0.023 0.175 0.978
6 Be 0.334 0.147 0.286

DOS(E_F): 0.35 states/eV/f.u.
formation energy without anion corrections: 234.5 meV per atom
size of the total moment: 0.000 μB per atom
space-group type: P1
E_tot: -12.6 eV per formula unit
offset from the most stable computed form: 46 meV per atom
crystal system: triclinic
volume: 124.5 Å³ per cell



# 3
## TlAgPO2 (GGA-PBE)

Data for crystalline TlAgPO2 at its relaxed geometry.

a b c (Å): 4.087 4.087 5.829
angles (deg): 90.00 90.00 90.00
Site moments in Bohr magnetons follow the coordinates.
Element x y z (fractional)
1 P 0.000 0.000 0.500  0.22
2 Tl 0.000 0.000 0.000  0.02
3 O 0.000 0.500 0.000  0.29
4 O 0.500 0.000 0.000  0.29
5 Ag 0.500 0.500 0.500  0.01

DOS(E_F): 4.55 states/eV/f.u.
formation energy without anion corrections: 633.2 meV per atom
size of the total moment: 0.232 μB per atom
space-group type: P4/mmm
E_tot: -17.4 eV per formula unit
offset from the most stable computed form: 184 meV per atom
crystal system: tetragonal
volume: 97.4 Å³ per cell



# 4
## CaMgTa2 (GGA-PBE)

Data for crystalline CaMgTa2 at its relaxed geometry.

a b c (Å): 5.362 2.945 5.539
angles (deg): 79.49 90.00 90.00
Element x y z (fractional)
1 Ca 0.500 0.250 0.250
2 Mg 0.500 0.750 0.750
3 Ta 0.000 0.932 0.976
4 Ta 0.000 0.568 0.524

DOS(E_F): 3.57 states/eV/f.u.
size of the total moment: 0.000 μB per atom
space-group type: P2/m
E_tot: -25.1 eV per formula unit
crystal system: monoclinic
volume: 86.0 Å³ per cell